Record 1
A relaxed CaB2H2 crystal, computed with PBE.

Output
Total energy, eV/cell: -90.00
SG: No. 14
Offset from the most stable computed form, meV per atom: 173

Structure (extended XYZ):
```
20
Lattice="-1.5563 3.0723 0.8920 -2.0632 -0.2837 -2.6228 -11.6907 -8.3834 8.4784" Properties=species:S:1:pos:R:3 pbc="T T T"
H -3.7027 -0.1287 1.0905
H -4.9868 -2.8050 0.9735
H -3.6809 -1.8317 -0.0952
H -5.0098 -1.0997 2.1598
H -10.3234 -2.7897 5.7740
H -11.6075 -5.4661 5.6571
H -10.3004 -4.4951 4.5877
H -11.6293 -3.7631 6.8427
B -3.8894 -0.5561 2.2387
B -4.8005 -2.3768 -0.1745
B -7.4761 -4.4647 2.3352
B -12.9015 -6.8575 8.2057
B -7.8341 -1.1300 4.4123
B -10.5097 -3.2179 6.9221
B -11.4208 -5.0386 4.5088
B -2.4087 1.2627 -1.4581
Ca -1.7697 -1.0138 0.4121
Ca -13.5404 -4.5809 6.3354
Ca -8.3915 -3.6728 5.0963
Ca -6.9187 -1.9220 1.6512
```

---

Record 2
A relaxed CaB2H crystal, computed with PBE.

Output
Total energy, eV/cell: -68.86
SG: No. 62
Offset from the most stable computed form, meV per atom: 166

Structure (extended XYZ):
```
16
Lattice="3.1720 0.0000 0.0000 0.0000 3.4115 0.0000 0.0000 0.0000 16.9991" Properties=species:S:1:pos:R:3 pbc="T T T"
B 0.7930 1.8175 4.2372
B 2.3790 0.1961 8.7121
B 2.3790 1.5097 0.2125
B 2.3790 1.5940 12.7619
B 0.7930 1.9018 16.7865
B 0.7930 3.2154 8.2870
B 2.3790 0.1117 4.2624
B 0.7930 3.2998 12.7367
H 0.7930 3.0482 16.3541
H 0.7930 2.0691 7.8546
H 2.3790 1.3425 9.1445
H 2.3790 0.3633 0.6449
Ca 0.7930 1.5913 10.4733
Ca 2.3790 3.2971 15.0253
Ca 0.7930 0.1144 1.9737
Ca 2.3790 1.8202 6.5258
```

---

Record 3
A relaxed CaB2H crystal, computed with PBE.

Output
Total energy, eV/cell: -12.10
SG: No. 225
Offset from the most stable computed form, meV per atom: 1446

Structure (extended XYZ):
```
4
Lattice="0.3942 -3.2902 -2.4466 0.1449 -3.7774 1.6359 -3.1676 -2.5847 -0.5019" Properties=species:S:1:pos:R:3 pbc="T T T"
B -1.9713 -7.2392 -0.9845
B -0.6571 -2.4131 -0.3282
Ca -1.3142 -4.8261 -0.6563
H 0.0000 0.0000 0.0000
```

---

Record 4
A relaxed Ca2BH crystal, computed with PBE.

Output
Total energy, eV/cell: -12.56
SG: No. 225
Offset from the most stable computed form, meV per atom: 73

Structure (extended XYZ):
```
4
Lattice="4.6070 -0.0505 0.1045 2.2672 2.6986 2.9691 2.2030 -1.8673 3.5914" Properties=species:S:1:pos:R:3 pbc="T T T"
H 0.0000 0.0000 0.0000
Ca 6.8080 0.5856 4.9988
Ca 2.2693 0.1952 1.6663
B 4.5386 0.3904 3.3325
```

---

Record 5
A relaxed CaB2H4 crystal, computed with PBE.

Output
Total energy, eV/cell: -118.84
SG: No. 6

Structure (extended XYZ):
```
28
Lattice="-0.4510 -1.5701 -2.8445 1.2945 -3.5239 1.7399 -15.1181 -4.1147 4.6679" Properties=species:S:1:pos:R:3 pbc="T T T"
Ca -8.7041 -4.9577 2.2251
Ca -13.3909 -4.1004 4.3863
Ca -5.2145 -2.8878 2.4207
Ca -0.5675 -4.6924 0.7887
B -11.5533 -4.4326 2.3869
B -2.7375 -3.7100 2.4818
B -6.1755 -5.8445 2.3137
B -6.5467 -5.5313 4.0910
B -10.7481 -4.1530 3.9963
B -14.3550 -6.8421 4.1611
B -3.0889 -3.6836 0.6316
B 0.1806 -1.8039 0.9671
H -2.2607 -3.5668 -0.4030
H -6.2344 -2.4357 0.4415
H -3.6168 -4.4147 3.0102
H -9.9812 -5.0332 4.3605
H -10.4831 -3.6086 2.7330
H -2.0607 -2.8704 0.8585
H -7.7904 -5.5032 4.2727
H -11.1423 -7.1656 3.8303
H -13.7566 -7.8674 4.6322
H -3.0333 -0.8658 0.9588
H -0.3571 -0.7772 0.4856
H -7.5913 -3.1161 2.9235
H -13.2952 -6.2682 3.6763
H -10.7145 -4.4143 1.2734
H -3.9985 -2.9035 0.3452
H -6.3281 -4.7245 1.7197
```

---

Record 6
A relaxed CaB2H4 crystal, computed with PBE.

Output
Total energy, eV/cell: -118.88
SG: No. 70

Structure (extended XYZ):
```
28
Lattice="0.0000 6.6049 6.6236 4.1272 0.0000 6.6236 4.1272 6.6049 0.0000" Properties=species:S:1:pos:R:3 pbc="T T T"
H 4.3130 5.0919 2.9049
H 6.0050 8.3943 6.2167
H 2.2494 8.3943 7.0306
H 2.2494 4.8154 6.2167
H 4.3130 8.1178 10.3424
H 3.9426 2.8898 8.1472
H 3.9414 8.1178 2.9049
H 6.0062 7.0175 4.8354
H 4.3118 2.8898 5.1000
H 2.2482 6.1922 4.8354
H 3.9426 10.3200 5.1000
H 6.0050 4.8154 7.0306
H 3.9414 5.0919 10.3424
H 6.0062 6.1922 8.4118
H 2.2482 7.0175 8.4118
H 4.3118 10.3200 8.1472
B 8.0455 9.3402 9.3701
B 5.9819 6.0378 7.1890
B 2.2725 6.0378 6.0582
B 8.0455 10.4744 10.5009
B 4.3361 10.4744 9.3701
B 4.3361 9.3402 10.5009
B 5.9819 7.1719 6.0582
B 2.2725 7.1719 7.1890
Ca 3.0954 4.9536 8.2795
Ca 5.1590 4.9536 4.9677
Ca 5.1590 8.2561 8.2795
Ca 3.0954 8.2561 4.9677
```

---

- Which formula does entry 1 have?
  CaB2H2

---

- Which formula does entry 3 have?
  CaB2H